# 1
Density functional theory data (PBE) for crystalline Cd5Hg7Sb at its relaxed geometry.

Values from the calculation:
formation energy from raw total energies: 0.57 eV/f.u.
E: -10.24 eV/f.u.

Cell lengths 5.2100, 8.7843, 8.7843 Å; angles 83.12, 67.45, 67.45 degrees
Element x y z (fractional)
Cd: 0.4110 0.0120 0.5320
Cd: 0.0845 0.9924 0.3264
Cd: 0.4110 0.5320 0.0120
Cd: 0.0845 0.3264 0.9924
Cd: 0.5496 0.8185 0.8185
Hg: 0.6393 0.4121 0.4121
Hg: 0.2168 0.6866 0.6866
Hg: 0.9660 0.3971 0.6748
Hg: 0.9660 0.6748 0.3971
Hg: 0.3400 0.2656 0.2656
Hg: 0.6989 0.7262 0.1276
Hg: 0.6989 0.1276 0.7262
Sb: 0.9337 0.0287 0.0287

=====

# 2
Density functional theory data (PBE) for crystalline Cd5Hg8Sb at its relaxed geometry.

Values from the calculation:
formation energy from raw total energies: 0.93 eV/f.u.
E: -10.18 eV/f.u.

Cell lengths 7.9752, 7.9752, 7.9752 Å; angles 102.42, 102.42, 124.75 degrees
Element x y z (fractional)
Cd: 0.9951 0.2538 0.9662
Cd: 0.7462 0.7124 0.7412
Cd: 0.2876 0.0289 0.0338
Cd: 0.5000 0.5000 0.0000
Cd: 0.9711 0.0049 0.2588
Hg: 0.9702 0.6239 0.0945
Hg: 0.3761 0.4706 0.3464
Hg: 0.5695 0.9386 0.3033
Hg: 0.0614 0.3648 0.6310
Hg: 0.7338 0.4305 0.3690
Hg: 0.1243 0.0298 0.6536
Hg: 0.5294 0.8757 0.9055
Hg: 0.6352 0.2662 0.6967
Sb: 0.2500 0.7500 0.5000

=====

# 3
Density functional theory data (PBE) for crystalline CdHgSb at its relaxed geometry.

Values from the calculation:
formation energy from raw total energies: 0.35 eV/f.u.
E: -4.99 eV/f.u.

Cell lengths 5.1666, 5.1666, 3.4806 Å; angles 90.00, 90.00, 120.00 degrees
Element x y z (fractional)
Sb: 0.3333 0.6667 0.8318
Hg: 0.6667 0.3333 0.3335
Cd: 0.0000 0.0000 0.8347

=====

# 4
Density functional theory data (PBE) for crystalline CdHgSb2 at its relaxed geometry.

Values from the calculation:
formation energy from raw total energies: 0.76 eV/f.u.
E: -8.70 eV/f.u.

Cell lengths 5.3237, 5.3237, 5.3237 Å; angles 60.00, 60.00, 60.00 degrees
Element x y z (fractional)
Sb: 0.0000 0.0000 0.0000
Sb: 0.7500 0.7500 0.7500
Hg: 0.2500 0.2500 0.2500
Cd: 0.5000 0.5000 0.5000

=====

# 5
Density functional theory data (PBE) for crystalline CdHgSb at its relaxed geometry.

Values from the calculation:
formation energy from raw total energies: 0.32 eV/f.u.
E: -5.01 eV/f.u.

Cell lengths 7.7895, 7.6546, 3.2728 Å; angles 80.09, 75.47, 24.45 degrees
Element x y z (fractional)
Sb: 0.6598 0.6598 0.3402
Hg: 0.3418 0.3418 0.6582
Cd: 0.9984 0.9984 0.0016

=====

# 6
Density functional theory data (PBE) for crystalline Cd6Hg4Sb at its relaxed geometry.

Values from the calculation:
formation energy from raw total energies: 0.42 eV/f.u.
E: -10.40 eV/f.u.

Cell lengths 4.3881, 7.2751, 18.4398 Å; angles 90.00, 90.00, 107.55 degrees
Element x y z (fractional)
Cd: 0.5000 0.0000 0.0000
Cd: 0.5000 0.0000 0.5000
Cd: 0.0203 0.0405 0.3693
Cd: 0.9797 0.9595 0.6307
Cd: 0.9797 0.9595 0.8693
Cd: 0.0203 0.0405 0.1307
Cd: 0.7092 0.4185 0.3785
Cd: 0.2908 0.5815 0.6215
Cd: 0.2908 0.5815 0.8785
Cd: 0.7092 0.4185 0.1215
Cd: 0.2246 0.4493 0.2500
Cd: 0.7754 0.5507 0.7500
Hg: 0.8404 0.6809 0.5059
Hg: 0.3691 0.7381 0.1362
Hg: 0.1596 0.3191 0.4941
Hg: 0.6309 0.2619 0.8638
Hg: 0.8404 0.6809 0.9941
Hg: 0.1596 0.3191 0.0059
Hg: 0.6309 0.2619 0.6362
Hg: 0.3691 0.7381 0.3638
Sb: 0.5658 0.1315 0.2500
Sb: 0.4342 0.8685 0.7500

=====

# 7
Density functional theory data (PBE) for crystalline Cd4HgSb at its relaxed geometry.

Values from the calculation:
formation energy from raw total energies: 0.76 eV/f.u.
E: -7.33 eV/f.u.

Cell lengths 5.9561, 5.9561, 5.9561 Å; angles 60.00, 60.00, 60.00 degrees
Element x y z (fractional)
Cd: 0.3751 0.8747 0.3751
Cd: 0.8747 0.3751 0.3751
Cd: 0.3751 0.3751 0.8747
Cd: 0.3751 0.3751 0.3751
Hg: 0.7500 0.7500 0.7500
Sb: 0.0000 0.0000 0.0000

=====

# 8
Density functional theory data (PBE) for crystalline Cd2Hg2Sb at its relaxed geometry.

Values from the calculation:
formation energy from raw total energies: 0.86 eV/f.u.
E: -5.70 eV/f.u.

Cell lengths 4.2843, 4.2843, 7.5885 Å; angles 73.60, 73.60, 90.00 degrees
Element x y z (fractional)
Sb: 0.0000 0.0000 0.0000
Hg: 0.3989 0.3989 0.2022
Hg: 0.6011 0.6011 0.7978
Cd: 0.7500 0.2500 0.5000
Cd: 0.2500 0.7500 0.5000

=====

# 9
Density functional theory data (PBE) for crystalline CdHgSb at its relaxed geometry.

Values from the calculation:
formation energy from raw total energies: 0.38 eV/f.u.
E: -4.96 eV/f.u.

Cell lengths 7.4985, 7.4985, 7.4985 Å; angles 154.69, 154.69, 36.09 degrees
Element x y z (fractional)
Sb: 0.6602 0.6602 0.0000
Hg: 0.3430 0.3430 0.0000
Cd: 0.9968 0.9968 0.0000

=====

# 10
Density functional theory data (PBE) for crystalline Cd2HgSb at its relaxed geometry.

Values from the calculation:
formation energy from raw total energies: 0.26 eV/f.u.
E: -5.99 eV/f.u.

Cell lengths 9.7128, 9.7128, 9.7128 Å; angles 20.71, 20.71, 20.71 degrees
Element x y z (fractional)
Sb: 0.7482 0.7482 0.7482
Hg: 0.5048 0.5048 0.5048
Cd: 0.9958 0.9958 0.9958
Cd: 0.2512 0.2512 0.2512

=====

# 11
Density functional theory data (PBE) for crystalline CdHgSb2 at its relaxed geometry.

Values from the calculation:
formation energy from raw total energies: 0.48 eV/f.u.
E: -8.98 eV/f.u.

Cell lengths 5.0801, 3.1992, 6.7906 Å; angles 94.88, 90.00, 90.00 degrees
Element x y z (fractional)
Sb: 0.0000 0.7258 0.0311
Sb: 0.0000 0.7742 0.4689
Hg: 0.5000 0.7500 0.7500
Cd: 0.5000 0.2500 0.2500

=====

# 12
Density functional theory data (PBE) for crystalline CdHgSb2 at its relaxed geometry.

Values from the calculation:
formation energy from raw total energies: 0.83 eV/f.u.
E: -8.63 eV/f.u.

Cell lengths 6.5572, 6.5572, 7.9718 Å; angles 65.72, 65.72, 90.00 degrees
Element x y z (fractional)
Sb: 0.6268 0.1250 0.2500
Sb: 0.1232 0.6250 0.2500
Sb: 0.3750 0.3732 0.7500
Sb: 0.8750 0.8768 0.7500
Hg: 0.0000 0.0000 0.0000
Hg: 0.7500 0.2500 0.5000
Cd: 0.5000 0.5000 0.0000
Cd: 0.2500 0.7500 0.5000

=====

# 13
Density functional theory data (PBE) for crystalline Cd7Hg4Sb at its relaxed geometry.

Values from the calculation:
formation energy from raw total energies: 0.58 eV/f.u.
E: -11.16 eV/f.u.

Cell lengths 4.7134, 4.7134, 15.8411 Å; angles 90.00, 90.00, 120.00 degrees
Element x y z (fractional)
Cd: 0.0000 0.0000 0.0000
Cd: 0.6667 0.3333 0.5878
Cd: 0.3333 0.6667 0.4122
Cd: 0.6667 0.3333 0.8391
Cd: 0.3333 0.6667 0.1609
Cd: 0.0000 0.0000 0.2440
Cd: 0.0000 0.0000 0.7560
Hg: 0.6667 0.3333 0.0829
Hg: 0.3333 0.6667 0.9171
Hg: 0.6667 0.3333 0.3236
Hg: 0.3333 0.6667 0.6764
Sb: 0.0000 0.0000 0.5000

=====

# 14
Density functional theory data (PBE) for crystalline CdHgSb2 at its relaxed geometry.

Values from the calculation:
formation energy from raw total energies: 0.46 eV/f.u.
E: -9.00 eV/f.u.

Cell lengths 6.7951, 6.7951, 6.7951 Å; angles 145.51, 141.05, 52.99 degrees
Element x y z (fractional)
Sb: 0.9673 0.9673 0.0000
Sb: 0.7852 0.2852 0.5000
Hg: 0.2127 0.7127 0.5000
Cd: 0.5347 0.5347 0.0000

=====

# 15
Density functional theory data (PBE) for crystalline Cd2HgSb at its relaxed geometry.

Values from the calculation:
formation energy from raw total energies: 0.40 eV/f.u.
E: -5.85 eV/f.u.

Cell lengths 3.2536, 3.2536, 9.4651 Å; angles 90.00, 90.00, 90.00 degrees
Element x y z (fractional)
Sb: 0.5000 0.5000 0.7617
Hg: 0.0000 0.0000 0.4814
Cd: 0.0000 0.0000 0.0142
Cd: 0.5000 0.5000 0.2428

=====

# 16
Density functional theory data (PBE) for crystalline Cd2HgSb at its relaxed geometry.

Values from the calculation:
formation energy from raw total energies: 0.14 eV/f.u.
E: -6.11 eV/f.u.

Cell lengths 4.6738, 4.6738, 7.1001 Å; angles 80.74, 80.74, 42.85 degrees
Element x y z (fractional)
Sb: 0.7500 0.7500 0.7500
Hg: 0.2500 0.2500 0.2500
Cd: 0.9962 0.9962 0.0068
Cd: 0.5038 0.5038 0.4932

=====

# 17
Density functional theory data (PBE) for crystalline Cd2HgSb at its relaxed geometry.

Values from the calculation:
formation energy from raw total energies: 0.39 eV/f.u.
E: -5.86 eV/f.u.

Cell lengths 4.6651, 4.6651, 10.3974 Å; angles 77.04, 77.04, 90.00 degrees
Element x y z (fractional)
Sb: 0.5000 0.5000 0.0000
Sb: 0.2500 0.7500 0.5000
Hg: 0.0000 0.0000 0.0000
Hg: 0.7500 0.2500 0.5000
Cd: 0.6508 0.1250 0.2500
Cd: 0.0992 0.6250 0.2500
Cd: 0.3750 0.3492 0.7500
Cd: 0.8750 0.9008 0.7500

=====

# 18
Density functional theory data (PBE) for crystalline CdHgSb2 at its relaxed geometry.

Values from the calculation:
formation energy from raw total energies: 0.74 eV/f.u.
E: -8.73 eV/f.u.

Cell lengths 3.4576, 3.4576, 8.8148 Å; angles 90.00, 90.00, 90.00 degrees
Element x y z (fractional)
Sb: 0.0000 0.0000 0.0162
Sb: 0.0000 0.0000 0.4838
Hg: 0.5000 0.5000 0.7500
Cd: 0.5000 0.5000 0.2500

=====

# 19
Density functional theory data (PBE) for crystalline Cd6Hg2Sb at its relaxed geometry.

Values from the calculation:
formation energy from raw total energies: 0.34 eV/f.u.
E: -9.88 eV/f.u.

Cell lengths 3.9585, 6.8665, 8.7199 Å; angles 93.99, 90.00, 106.75 degrees
Element x y z (fractional)
Cd: 0.3602 0.7204 0.9262
Cd: 0.6398 0.2796 0.0738
Cd: 0.9668 0.9335 0.1617
Cd: 0.6624 0.3249 0.4180
Cd: 0.0332 0.0665 0.8383
Cd: 0.3376 0.6751 0.5820
Hg: 0.7080 0.4161 0.7582
Hg: 0.2920 0.5839 0.2418
Sb: 0.0000 0.0000 0.5000

=====

# 20
Density functional theory data (PBE) for crystalline CdHgSb2 at its relaxed geometry.

Values from the calculation:
formation energy from raw total energies: 0.37 eV/f.u.
E: -9.09 eV/f.u.

Cell lengths 6.1881, 3.1637, 6.4669 Å; angles 66.33, 90.00, 90.00 degrees
Element x y z (fractional)
Sb: 0.0000 0.1262 0.1273
Sb: 0.5000 0.1422 0.1236
Hg: 0.5000 0.6538 0.6238
Cd: 0.0000 0.5779 0.6252